(1)
The following is a meta-GGA SCAN calculation of a crystal of Li2CaFe relaxed with PBEsol, from Alexandria.

Geometry as POSCAR:
```
Li2CaFe
1.0
2.9598 0.0000 0.0000
0.0000 4.9318 0.0000
-0.5468 0.0000 5.2174
Li Ca Fe
2 1 1
Direct
0.2332 0.0000 0.2944
0.7668 0.0000 0.7056
0.5000 0.5000 0.0000
0.0000 0.5000 0.5000
```

Calculated values
Its symmetry is No. 10. The formation energy comes out at 390 meV per atom. As for the energy above the most stable polymorph in this dataset: 0.000 eV per atom.


(2)
The following is a meta-GGA SCAN calculation of a crystal of Al2PH3O7 relaxed with PBEsol, from Alexandria.

Geometry as POSCAR:
```
Al2PH3O7
1.0
6.5957 -4.0124 0.0000
6.5957 4.0124 0.0000
-1.9181 0.0000 4.6538
Al P H O
4 2 6 14
Direct
0.1838 0.1838 0.9648
0.1980 0.8020 0.0000
0.8020 0.1980 0.0000
0.8162 0.8162 0.0352
0.3491 0.3491 0.6140
0.6509 0.6509 0.3860
0.1369 0.1369 0.4003
0.1502 0.6495 0.3375
0.3505 0.8498 0.6625
0.6495 0.1502 0.3375
0.8498 0.3505 0.6625
0.8631 0.8631 0.5997
0.0798 0.7148 0.1720
0.0878 0.0878 0.1930
0.2505 0.2505 0.7084
0.2597 0.5767 0.7099
0.2852 0.9202 0.8280
0.3032 0.3032 0.2826
0.4233 0.7403 0.2901
0.5767 0.2597 0.7099
0.6968 0.6968 0.7174
0.7148 0.0798 0.1720
0.7403 0.4233 0.2901
0.7495 0.7495 0.2916
0.9122 0.9122 0.8070
0.9202 0.2852 0.8280
```

Calculated values
Its symmetry is No. 12. For the energy, the calculation gives -8.544 eV per atom.


(3)
The following is a meta-GGA SCAN calculation of a crystal of CaCrP2 relaxed with PBEsol, from Alexandria.

Geometry as POSCAR:
```
CaCrP2
1.0
-1.8935 1.8935 4.6714
1.8935 -1.8935 4.6714
1.8935 1.8935 -4.6714
Ca Cr P
1 1 2
Direct
0.0000 0.0000 0.0000
0.7500 0.2500 0.5000
0.2500 0.7500 0.5000
0.5000 0.5000 0.0000
```

Calculated values
Its symmetry is No. 119. The formation energy comes out at -278 meV per atom. As for the energy above the most stable polymorph in this dataset: 0.111 eV per atom.


(4)
The following is a meta-GGA SCAN calculation of a crystal of CoNiIr2 relaxed with PBEsol, from Alexandria.

Geometry as POSCAR:
```
CoNiIr2
1.0
2.6286 -3.5364 0.0000
2.6286 3.5364 0.0000
0.0000 0.0000 2.6343
Co Ni Ir
1 1 2
Direct
0.0000 0.0000 0.0000
0.5000 0.5000 0.0000
0.0000 0.5000 0.5000
0.5000 0.0000 0.5000
```

Calculated values
Its symmetry is No. 65. The formation energy comes out at 58 meV per atom. As for the energy above the most stable polymorph in this dataset: 0.054 eV per atom.


(5)
The following is a meta-GGA SCAN calculation of a crystal of BiAsPbSe2 relaxed with PBEsol, from Alexandria.

Geometry as POSCAR:
```
BiAsPbSe2
1.0
5.4330 0.0000 0.0000
0.0000 5.4330 0.0000
0.0000 0.0000 5.2952
Bi As Pb Se
1 1 1 2
Direct
0.0000 0.0000 0.0000
0.0000 0.0000 0.5000
0.5000 0.5000 0.5000
0.0000 0.5000 0.0000
0.5000 0.0000 0.0000
```

Calculated values
Its symmetry is No. 123. The uncorrected formation energy comes out at 0.48 eV per atom.


(6)
The following is a meta-GGA SCAN calculation of a crystal of BaY2Au relaxed with PBEsol, from Alexandria.

Geometry as POSCAR:
```
BaY2Au
1.0
3.8037 0.0000 0.0000
0.0000 5.4452 0.0000
0.0000 0.0000 5.5424
Ba Y Au
1 2 1
Direct
0.0000 0.0000 0.0000
0.0000 0.5000 0.5000
0.5000 0.5000 0.0000
0.5000 0.0000 0.5000
```

Calculated values
Its symmetry is No. 47. The formation energy comes out at -90 meV per atom. As for the energy above the most stable polymorph in this dataset: 0.328 eV per atom.


(7)
The following is a meta-GGA SCAN calculation of a crystal of BaBe2Ag2 relaxed with PBEsol, from Alexandria.

Geometry as POSCAR:
```
BaBe2Ag2
1.0
-2.2282 2.2282 4.9499
2.2282 -2.2282 4.9499
2.2282 2.2282 -4.9499
Ba Be Ag
1 2 2
Direct
0.0000 0.0000 0.0000
0.3592 0.3592 0.0000
0.6408 0.6408 0.0000
0.2500 0.7500 0.5000
0.7500 0.2500 0.5000
```

Calculated values
Its symmetry is No. 139. The formation energy comes out at 146 meV per atom.


(8)
The following is a meta-GGA SCAN calculation of a crystal of Ag2HgOs relaxed with PBEsol, from Alexandria.

Geometry as POSCAR:
```
Ag2HgOs
1.0
2.7462 0.0000 0.0000
0.0000 2.7462 0.0000
0.0000 0.0000 8.8410
Ag Hg Os
2 1 1
Direct
0.0000 0.0000 0.2350
0.0000 0.0000 0.7650
0.5000 0.5000 0.5000
0.5000 0.5000 0.0000
```

Calculated values
Its symmetry is No. 123. The formation energy comes out at 599 meV per atom.


(9)
The following is a meta-GGA SCAN calculation of a crystal of Y2MnAu relaxed with PBEsol, from Alexandria.

Geometry as POSCAR:
```
Y2MnAu
1.0
-2.4748 2.4748 3.5374
2.4748 -2.4748 3.5374
2.4748 2.4748 -3.5374
Y Mn Au
2 1 1
Direct
0.2500 0.7500 0.5000
0.7500 0.2500 0.5000
0.0000 0.0000 0.0000
0.5000 0.5000 0.0000
```

Calculated values
Its symmetry is No. 139. The formation energy comes out at -539 meV per atom. As for the energy above the most stable polymorph in this dataset: 0.000 eV per atom.


(10)
The following is a meta-GGA SCAN calculation of a crystal of YScRh3 relaxed with PBEsol, from Alexandria.

Geometry as POSCAR:
```
YScRh3
1.0
4.7468 0.0000 0.0000
0.0000 4.7468 0.0000
0.0000 0.0000 4.7468
Y Sc Rh
1 1 3
Direct
0.0000 0.0000 0.0000
0.5000 0.5000 0.5000
0.0000 0.0000 0.5000
0.0000 0.5000 0.0000
0.5000 0.0000 0.0000
```

Calculated values
Its symmetry is No. 221. The formation energy comes out at 647 meV per atom.


(11)
The following is a meta-GGA SCAN calculation of a crystal of NiMoRh relaxed with PBEsol, from Alexandria.

Geometry as POSCAR:
```
NiMoRh
1.0
0.0000 2.8054 2.8054
2.8054 0.0000 2.8054
2.8054 2.8054 0.0000
Ni Mo Rh
1 1 1
Direct
0.0000 0.0000 0.0000
0.7500 0.7500 0.7500
0.2500 0.2500 0.2500
```

Calculated values
Its symmetry is No. 216. The formation energy comes out at 512 meV per atom. As for the energy above the most stable polymorph in this dataset: 0.650 eV per atom.


(12)
The following is a meta-GGA SCAN calculation of a crystal of YSc2CrGe relaxed with PBEsol, from Alexandria.

Geometry as POSCAR:
```
YSc2CrGe
1.0
4.7049 0.0000 0.0000
0.0000 4.7049 0.0000
0.0000 0.0000 4.9812
Y Sc Cr Ge
1 2 1 1
Direct
0.0000 0.0000 0.0000
0.0000 0.5000 0.5000
0.5000 0.0000 0.5000
0.0000 0.0000 0.5000
0.5000 0.5000 0.0000
```

Calculated values
Its symmetry is No. 123. The formation energy comes out at 372 meV per atom.


(13)
The following is a meta-GGA SCAN calculation of a crystal of La5Tl relaxed with PBEsol, from Alexandria.

Geometry as POSCAR:
```
La5Tl
1.0
3.6867 0.0000 0.0000
0.0000 3.6867 0.0000
0.0000 0.0000 14.3712
La Tl
5 1
Direct
0.0000 0.0000 0.0000
0.0000 0.0000 0.3501
0.0000 0.0000 0.6499
0.5000 0.5000 0.1753
0.5000 0.5000 0.8247
0.5000 0.5000 0.5000
```

Calculated values
Its symmetry is No. 123. The formation energy comes out at -187 meV per atom. As for the energy above the most stable polymorph in this dataset: 0.028 eV per atom.


(14)
The following is a meta-GGA SCAN calculation of a crystal of TlAuCl4 relaxed with PBEsol, from Alexandria.

Geometry as POSCAR:
```
TlAuCl4
1.0
5.9336 -2.8544 0.0000
5.9336 2.8544 0.0000
-1.8069 0.0000 9.5535
Tl Au Cl
2 2 8
Direct
0.2344 0.7656 0.7500
0.7656 0.2344 0.2500
0.0000 0.5000 0.0000
0.5000 0.0000 0.5000
0.1859 0.2793 0.6534
0.1987 0.6898 0.0710
0.2793 0.1859 0.1534
0.3102 0.8013 0.4290
0.6898 0.1987 0.5710
0.7207 0.8141 0.8466
0.8013 0.3102 0.9290
0.8141 0.7207 0.3466
```

Calculated values
Its symmetry is No. 15. The uncorrected formation energy comes out at -0.69 eV per atom.


(15)
The following is a meta-GGA SCAN calculation of a crystal of AlAg6 relaxed with PBEsol, from Alexandria.

Geometry as POSCAR:
```
AlAg6
1.0
3.7660 2.1743 2.3270
-3.7660 2.1743 2.3270
0.0000 -4.3486 2.3270
Al Ag
1 6
Direct
0.0000 0.0000 0.0000
0.1431 0.5693 0.2794
0.2794 0.1431 0.5693
0.4307 0.7206 0.8569
0.5693 0.2794 0.1431
0.7206 0.8569 0.4307
0.8569 0.4307 0.7206
```

Calculated values
Its symmetry is No. 148. The formation energy comes out at -53 meV per atom. As for the energy above the most stable polymorph in this dataset: 0.000 eV per atom.


(16)
The following is a meta-GGA SCAN calculation of a crystal of TiMn3Rh relaxed with PBEsol, from Alexandria.

Geometry as POSCAR:
```
TiMn3Rh
1.0
4.2677 0.0000 0.0000
0.0000 4.2677 0.0000
0.0000 0.0000 4.2677
Ti Mn Rh
1 3 1
Direct
0.0000 0.0000 0.0000
0.0000 0.0000 0.5000
0.0000 0.5000 0.0000
0.5000 0.0000 0.0000
0.5000 0.5000 0.5000
```

Calculated values
Its symmetry is No. 221. The formation energy comes out at 926 meV per atom.


(17)
The following is a meta-GGA SCAN calculation of a crystal of LiTc2Sb relaxed with PBEsol, from Alexandria.

Geometry as POSCAR:
```
LiTc2Sb
1.0
-1.8955 1.8955 9.2134
1.8955 -1.8955 9.2134
1.8955 1.8955 -9.2134
Li Tc Sb
2 4 2
Direct
0.0000 0.0000 0.0000
0.7500 0.2500 0.5000
0.0572 0.6250 0.9322
0.3750 0.3072 0.4322
0.6928 0.1250 0.0678
0.8750 0.9428 0.5678
0.2500 0.7500 0.5000
0.5000 0.5000 0.0000
```

Calculated values
Its symmetry is No. 122. The uncorrected formation energy comes out at 0.32 eV per atom.


(18)
The following is a meta-GGA SCAN calculation of a crystal of Tl2CdPt relaxed with PBEsol, from Alexandria.

Geometry as POSCAR:
```
Tl2CdPt
1.0
3.2632 0.0000 0.0000
0.0000 3.2632 0.0000
0.0000 0.0000 8.2958
Tl Cd Pt
2 1 1
Direct
0.0000 0.0000 0.2148
0.0000 0.0000 0.7852
0.5000 0.5000 0.5000
0.5000 0.5000 0.0000
```

Calculated values
Its symmetry is No. 123. The formation energy comes out at 122 meV per atom. As for the energy above the most stable polymorph in this dataset: 0.205 eV per atom.


(19)
The following is a meta-GGA SCAN calculation of a crystal of Sc2Si2Tc relaxed with PBEsol, from Alexandria.

Geometry as POSCAR:
```
Sc2Si2Tc
1.0
6.5014 0.0000 0.0000
0.0000 6.5014 0.0000
0.0000 0.0000 3.8388
Sc Si Tc
4 4 2
Direct
0.1752 0.3248 0.0000
0.3248 0.8248 0.0000
0.6752 0.1752 0.0000
0.8248 0.6752 0.0000
0.1298 0.6298 0.5000
0.3702 0.1298 0.5000
0.6298 0.8702 0.5000
0.8702 0.3702 0.5000
0.0000 0.0000 0.5000
0.5000 0.5000 0.5000
```

Calculated values
Its symmetry is No. 127. The uncorrected formation energy comes out at -0.81 eV per atom.


(20)
The following is a meta-GGA SCAN calculation of a crystal of SnAsCBr2 relaxed with PBEsol, from Alexandria.

Geometry as POSCAR:
```
SnAsCBr2
1.0
4.6154 0.0000 0.0000
0.0000 4.6154 0.0000
0.0000 0.0000 4.6187
Sn As C Br
1 1 1 2
Direct
0.0000 0.0000 0.0000
0.5000 0.5000 0.0000
0.5000 0.5000 0.5000
0.0000 0.5000 0.5000
0.5000 0.0000 0.5000
```

Calculated values
Its symmetry is No. 123. The uncorrected formation energy comes out at 1.04 eV per atom.


Respective DOS at the Fermi energy values: 1.625, 0.000, 1.611, 4.508, 3.581, 3.771, 2.060, 2.230, 3.121, 7.181, 4.966, 3.017, 7.361, 0.000, 1.725, 2.051, 4.126, 1.349, 4.646, 2.156 states/eV/cell.